Entry from Alexandria: a relaxed structure of MnFe2HRu (PBE).

Cell lengths 3.5973, 3.5973, 3.6478 Å; angles 90.00, 90.00, 90.00 degrees
Closest atoms and distances in Å follow each position.
Element x y z (fractional)
Fe 0.5000 0.0000 0.0000  2 H 1.80
Mn 0.0000 0.0000 0.5000  2 H 1.82
H 0.0000 0.0000 0.0000  4 Fe 1.80, 2 Mn 1.82
Fe 0.0000 0.5000 0.0000  2 H 1.80
Ru 0.5000 0.5000 0.5000  4 Mn 2.54, 8 Fe 2.56

## Properties
ΔE to the lowest computed polymorph: 82 meV per atom
DOS at the Fermi energy: 5.8 states/eV/f.u.